No. 1
Compound: TbMnC
Source: the Alexandria database
Functional: GGA-PBE
Structure: optimized geometry

Calculated values
- Energy relative to the elements: 0.04 eV/atom
- Offset from the most stable computed form: 0.086 eV/atom
- Magnetic moment: 0.00 Bohr magnetons per cell

Lattice parameters (Å, degrees): 3.4002 3.4002 4.2024 90.00 90.00 120.00
Last column: nearest neighbours and their distance in Å.
Space group P3m1 (No. 156)
One atom of each set of equivalent atoms:
Tb: 0.0000 0.0000 0.0000 [1 per cell]  6 C 2.87-2.88, 6 Mn 2.87-2.88
Mn: 0.3333 0.6667 0.4995 [1 per cell]  3 C 1.96
C: 0.6667 0.3333 0.4987 [1 per cell]  3 Mn 1.96

---

No. 2
Compound: KHgBF6
Source: the Alexandria database
Functional: GGA-PBE
Structure: optimized geometry

Calculated values
- Formation energy (no corrections): -2.431 eV/atom
- Magnetic moment: 0.22 Bohr magnetons per cell

Lattice parameters (Å, degrees): 4.5642 13.3965 5.5430 90.00 97.33 90.00
Last column: nearest neighbours and their distance in Å.
Space group C2 (No. 5)
One atom of each set of equivalent atoms:
K: 0.0000 0.0000 0.0000 [2 per cell]  6 F 2.69-2.94
Hg: 0.0000 0.3187 0.5000 [2 per cell]  2 F 2.00
B: 0.0000 0.5798 0.5000 [2 per cell]  4 F 1.40-1.44
F: 0.1110 0.5166 0.3233 [4 per cell]  1 B 1.44
F: 0.1515 0.8289 0.2417 [4 per cell]  1 Hg 2.00
F: 0.2297 0.6376 0.6219 [4 per cell]  1 B 1.40

---

No. 3
Compound: TlRe2Hg
Source: the Alexandria database
Functional: GGA-PBE
Structure: optimized geometry

Calculated values
- Energy relative to the elements: 0.71 eV/atom
- Offset from the most stable computed form: 0.265 eV/atom
- Magnetic moment: 0.00 Bohr magnetons per cell

Lattice parameters (Å, degrees): 2.9460 4.9419 11.1053 90.00 90.00 90.00
Last column: nearest neighbours and their distance in Å.
Space group Cmm2 (No. 35)
One atom of each set of equivalent atoms:
Tl: 0.0000 0.0000 0.0000 [2 per cell]  6 Tl 2.88-2.95, 2 Re 3.17
Re: 0.0000 0.0000 0.4409 [2 per cell]  2 Re 2.56
Re: 0.0000 0.5000 0.2527 [2 per cell]  2 Re 2.56
Hg: 0.0000 0.5000 0.6853 [2 per cell]  6 Hg 2.88-2.95, 2 Re 3.09

---

magnetic moment of number 1 (TbMnC)? 0.00 Bohr magnetons per cell

---

What is the magnetic moment in the second record? 0.22 Bohr magnetons per cell

---

Which formula does entry 1 have? TbMnC

---

Which formula does entry 3 have? TlRe2Hg